1.
VASP calculation (GGA-PBE) on a relaxed TeAu2Br crystal.

Calculated values
energy above the most stable polymorph in this dataset	0.24	eV/f.u.
E	-45.04	eV for the cell shown

abc: 6.3584 6.3584 12.5056
angles: 90.00 90.00 90.00
Last column: nearest neighbours and their distance in Å.
Space group I-42d (No. 122)
Symmetry-distinct sites (fractional):
Te1 0.0000 0.0000 0.0000  4 Au 2.65
Au1 0.2246 0.2500 0.1250  2 Te 2.65, 2 Br 2.83
Br1 0.0000 0.0000 0.5000  4 Au 2.83


2.
VASP calculation (GGA-PBE) on a relaxed La6As2SBr3 crystal.

Calculated values
E	-134.81	eV for the cell shown

abc: 7.4588 12.9081 7.6709
angles: 90.00 108.83 90.00
Last column: nearest neighbours and their distance in Å.
Space group C2/m (No. 12)
Symmetry-distinct sites (fractional):
La1 0.2311 0.1606 0.2132  1 S 2.85, 2 As 2.97-2.98
La2 0.2479 0.0000 0.7819  1 S 2.87, 2 As 2.98
As1 0.0000 0.3345 0.0000  6 La 2.97-2.98
S1 0.0000 0.0000 0.0000  6 La 2.85-2.87
Br1 0.0000 0.1741 0.5000  6 La 3.21-3.25
Br2 0.0000 0.5000 0.5000  6 La 3.21-3.29


3.
VASP calculation (GGA-PBE) on a relaxed Ba2SbN crystal.

Calculated values
energy above the most stable polymorph in this dataset	1.24	eV/f.u.
E	-64.64	eV for the cell shown

abc: 8.0663 8.0663 8.0663
angles: 90.00 90.00 90.00
Last column: nearest neighbours and their distance in Å.
Space group Fm-3m (No. 225)
Symmetry-distinct sites (fractional):
Ba1 0.2500 0.2500 0.2500  4 Sb 3.49, 4 N 3.49
Sb1 0.0000 0.0000 0.0000  8 Ba 3.49
N1 0.0000 0.0000 0.5000  8 Ba 3.49


4.
VASP calculation (GGA-PBE) on a relaxed UAg3Pd2Se6 crystal.

Calculated values
E	-112.08	eV for the cell shown

abc: 6.6527 11.3170 7.0334
angles: 90.00 106.53 90.00
Last column: nearest neighbours and their distance in Å.
Space group C2/m (No. 12)
Symmetry-distinct sites (fractional):
U1 0.0000 0.0000 0.0000  6 Se 2.79-2.80
Ag1 0.0000 0.1412 0.5000  6 Se 2.79-2.98
Ag2 0.0000 0.5000 0.5000  6 Se 2.71-2.91
Pd1 0.0000 0.3292 0.0000  6 Se 2.62-2.72
Se1 0.2098 0.5000 0.2210  2 Pd 2.62, 3 Ag 2.71-2.82, 1 U 2.80
Se2 0.2412 0.1750 0.2378  2 Pd 2.62-2.72, 1 U 2.79, 2 Ag 2.79-2.91


5.
VASP calculation (GGA-PBE) on a relaxed NaEr2Ir crystal.

Calculated values
energy above the most stable polymorph in this dataset	0.00	eV/f.u.
E	-20.95	eV for the cell shown

abc: 3.4249 3.4249 9.5125
angles: 90.00 90.00 90.00
Last column: nearest neighbours and their distance in Å.
Space group P4/mmm (No. 123)
Symmetry-distinct sites (fractional):
Na1 0.0000 0.0000 0.0000  4 Na 3.42
Er1 0.5000 0.5000 0.3307  4 Ir 2.91, 1 Er 3.22
Ir1 0.0000 0.0000 0.5000  8 Er 2.91


6.
VASP calculation (GGA-PBE) on a relaxed CrCu2W crystal.

Calculated values
energy above the most stable polymorph in this dataset	1.51	eV/f.u.
E	-113.09	eV for the cell shown

abc: 5.9363 5.9363 5.9363
angles: 90.00 90.00 90.00
Last column: nearest neighbours and their distance in Å.
Space group Fm-3m (No. 225)
Symmetry-distinct sites (fractional):
Cr1 0.0000 0.0000 0.0000  8 Cu 2.57
Cu1 0.2500 0.2500 0.2500  4 Cr 2.57, 4 W 2.57
W1 0.0000 0.0000 0.5000  8 Cu 2.57


7.
VASP calculation (GGA-PBE) on a relaxed BaGd3Ir crystal.

Calculated values
E	-54.58	eV for the cell shown

abc: 5.6088 5.6088 5.6088
angles: 90.00 90.00 90.00
Last column: nearest neighbours and their distance in Å.
Space group Pm-3m (No. 221)
Symmetry-distinct sites (fractional):
Ba1 0.0000 0.0000 0.0000  12 Gd 3.97
Gd1 0.0000 0.5000 0.5000  2 Ir 2.80
Ir1 0.5000 0.5000 0.5000  6 Gd 2.80


8.
VASP calculation (GGA-PBE) on a relaxed PmSmTm2 crystal.

Calculated values
energy above the most stable polymorph in this dataset	0.01	eV/f.u.
E	-55.02	eV for the cell shown

abc: 3.5682 3.5682 34.5994
angles: 90.00 90.00 120.00
Last column: nearest neighbours and their distance in Å.
Space group R-3m (No. 166, hexagonal axes)
Symmetry-distinct sites (fractional):
Pm1 0.0000 0.0000 0.0000  6 Tm 3.55, 6 Pm 3.57
Sm1 0.0000 0.0000 0.5000  6 Tm 3.54, 6 Sm 3.57
Tm1 0.0000 0.0000 0.2498  3 Sm 3.54, 3 Pm 3.55, 6 Tm 3.57


9.
VASP calculation (GGA-PBE) on a relaxed Pr3Ho4Ag4 crystal.

Calculated values
E	-90.92	eV for the cell shown

abc: 5.0378 7.7191 15.9301
angles: 90.00 90.00 90.00
Last column: nearest neighbours and their distance in Å.
Space group Immm (No. 71)
Symmetry-distinct sites (fractional):
Pr1 0.0000 0.0000 0.0000  6 Ag 3.23-3.49
Pr2 0.0000 0.5000 0.1068  4 Ag 3.36, 1 Pr 3.40, 4 Ho 3.51
Ho1 0.0000 0.2828 0.3249  4 Ag 2.89-3.06
Ag1 0.0000 0.0000 0.2030  6 Ho 2.92-3.06, 1 Pr 3.23
Ag2 0.0000 0.1862 0.5000  1 Ag 2.87, 2 Ho 2.89


10.
VASP calculation (GGA-PBE) on a relaxed CaLaSb crystal.

Calculated values
E	-45.91	eV for the cell shown

abc: 7.6574 7.6574 7.6574
angles: 90.00 90.00 90.00
Last column: nearest neighbours and their distance in Å.
Space group F-43m (No. 216)
Symmetry-distinct sites (fractional):
Ca1 0.0000 0.0000 0.0000  4 La 3.32
La1 0.2500 0.2500 0.7500  4 Ca 3.32, 4 Sb 3.32
Sb1 0.0000 0.0000 0.5000  4 La 3.32


11.
VASP calculation (GGA-PBE) on a relaxed Ba3Tl9Hg2 crystal.

Calculated values
E	-63.15	eV for the cell shown

abc: 5.2275 11.7569 15.1720
angles: 90.00 90.00 90.00
Last column: nearest neighbours and their distance in Å.
Space group Immm (No. 71)
Symmetry-distinct sites (fractional):
Ba1 0.0000 0.0000 0.0000  12 Tl 3.83-3.95
Ba2 0.0000 0.0000 0.3124  2 Hg 3.57, 10 Tl 3.75-3.87
Tl1 0.0000 0.2766 0.1477  4 Tl 3.13-3.45, 2 Hg 3.48
Tl2 0.0000 0.3692 0.3463  4 Tl 3.07-3.20, 1 Hg 3.20
Tl3 0.0000 0.5000 0.0000  4 Hg 3.38, 4 Tl 3.45
Hg1 0.0000 0.1828 0.5000  8 Tl 3.20-3.48, 2 Ba 3.57


12.
VASP calculation (GGA-PBE) on a relaxed Pr2Dy4Ge3O2 crystal.

Calculated values
E	-138.25	eV for the cell shown

abc: 4.5777 4.5777 24.2801
angles: 90.00 90.00 90.00
Last column: nearest neighbours and their distance in Å.
Space group I4/mmm (No. 139)
Symmetry-distinct sites (fractional):
Pr1 0.0000 0.0000 0.1979  1 O 2.60
Dy1 0.0000 0.5000 0.0792  2 O 2.31
Ge1 0.0000 0.0000 0.3288  5 Pr 3.18-3.30, 4 Dy 3.20
Ge2 0.0000 0.0000 0.5000  8 Dy 2.99
O1 0.0000 0.0000 0.0908  4 Dy 2.31